Entry 1:
A plane-wave DFT calculation with PBE was carried out for crystalline LiCo2PdN at its relaxed geometry.

Structure (POSCAR):
```
LiCo2PdN
1.0
3.6592 0.0000 0.0000
0.0000 3.6592 0.0000
0.0000 0.0000 4.0986
Li Co Pd N
1 2 1 1
Cartesian
0.0000 0.0000 0.0000 Li
0.0000 1.8296 2.0493 Co
1.8296 0.0000 2.0493 Co
1.8296 1.8296 0.0000 Pd
0.0000 0.0000 2.0493 N
```

**E above lowest polymorph**: 0 kJ/mol of formula units
**Density**: 7.42 g/cm³
**Space group**: P4/mmm, No. 123
**Uncorrected formation energy**: -166 meV per atom

Entry 2:
A plane-wave DFT calculation with PBE was carried out for crystalline MoAuIN2 at its relaxed geometry.

Structure (POSCAR):
```
MoAuIN2
1.0
3.9488 0.0000 0.0000
0.0000 3.9488 0.0000
0.0000 0.0000 5.9766
Mo Au I N
1 1 1 2
Cartesian
0.0000 0.0000 0.0000 Mo
1.9744 1.9744 2.9883 Au
0.0000 0.0000 2.9883 I
0.0000 1.9744 0.0000 N
1.9744 0.0000 0.0000 N
```

**E above lowest polymorph**: 0 kJ/mol of formula units
**Density**: 7.98 g/cm³
**Space group**: P4/mmm, No. 123
**Uncorrected formation energy**: 683 meV per atom

Entry 3:
A plane-wave DFT calculation with PBE was carried out for crystalline Na3Cd7Sn2 at its relaxed geometry.

Structure (POSCAR):
```
Na3Cd7Sn2
1.0
3.0088 1.7371 10.0976
-3.0088 1.7371 10.0976
0.0000 -3.4742 10.0976
Na Cd Sn
3 7 2
Cartesian
0.0000 0.0000 0.0000 Na
0.0000 0.0000 4.3479 Na
0.0000 0.0000 25.9449 Na
-1.5292 -0.8829 12.7610 Cd
0.0000 -1.7658 17.5318 Cd
-1.5292 0.8829 17.5318 Cd
0.0000 0.0000 15.1464 Cd
1.5292 -0.8829 12.7610 Cd
0.0000 1.7658 12.7610 Cd
1.5292 0.8829 17.5318 Cd
0.0000 0.0000 10.1312 Sn
0.0000 0.0000 20.1616 Sn
```

**Energy of formation**: -0.85 eV per formula unit
**Density**: 5.73 g/cm³
**Space group**: R-3m, No. 166

Entry 4:
A plane-wave DFT calculation with PBE was carried out for crystalline LaMnTcGe2 at its relaxed geometry.

Structure (POSCAR):
```
LaMnTcGe2
1.0
-2.0767 2.0767 5.5299
2.0767 -2.0767 5.5299
2.0767 2.0767 -5.5299
La Mn Tc Ge
1 1 1 2
Cartesian
0.0000 0.0000 0.0000 La
0.0000 2.0767 2.7650 Mn
2.0767 0.0000 2.7650 Tc
0.0000 0.0000 4.1530 Ge
0.0000 0.0000 6.9069 Ge
```

**Energy of formation**: -2.42 eV per formula unit
**Density**: 7.61 g/cm³
**Space group**: I-4m2, No. 119

Entry 5:
A plane-wave DFT calculation with PBE was carried out for crystalline K4FeCl6 at its relaxed geometry.

Structure (POSCAR):
```
K4FeCl6
1.0
7.4374 -3.9945 0.0000
7.4374 3.9945 0.0000
-6.7179 0.0000 13.6944
K Fe Cl
8 2 12
Cartesian
-1.6402 1.6501 11.8230 K
4.0784 2.9141 6.8472 K
5.2680 1.2005 2.7844 K
1.7188 -1.6501 4.9758 K
9.7796 1.1256 0.5435 K
1.9091 -1.2005 9.6316 K
6.4206 -1.1256 7.3908 K
7.4374 -2.9141 0.0000 K
5.5284 2.0010 10.4732 Fe
8.8874 -2.0010 3.6259 Fe
1.3673 1.4405 5.8690 Cl
6.9219 2.1349 0.4397 Cl
2.3167 0.1522 2.4727 Cl
-1.0423 -0.1522 9.3199 Cl
3.4877 1.5449 9.5861 Cl
6.3678 1.3693 5.6237 Cl
-1.9917 -1.4405 12.7162 Cl
6.8467 -1.5449 2.7388 Cl
3.5629 -2.1349 7.2869 Cl
7.0833 0.2918 10.2690 Cl
3.0088 -1.3693 12.4709 Cl
10.4423 -0.2918 3.4218 Cl
```

**Density**: 1.73 g/cm³
**Space group**: Cc, No. 9
**Uncorrected formation energy**: -1591 meV per atom

Entry 6:
A plane-wave DFT calculation with PBE was carried out for crystalline Er3ThO at its relaxed geometry.

Structure (POSCAR):
```
Er3ThO
1.0
4.9160 0.0000 0.0000
0.0000 4.9160 0.0000
0.0000 0.0000 4.9160
Er Th O
3 1 1
Cartesian
0.0000 0.0000 2.4580 Er
0.0000 2.4580 0.0000 Er
2.4580 0.0000 0.0000 Er
2.4580 2.4580 2.4580 Th
0.0000 0.0000 0.0000 O
```

**Density**: 10.48 g/cm³
**Space group**: Pm-3m, No. 221
**Uncorrected formation energy**: -1042 meV per atom

Entry 7:
A plane-wave DFT calculation with PBE was carried out for crystalline TiB2Ru2 at its relaxed geometry.

Structure (POSCAR):
```
TiB2Ru2
1.0
-1.9294 1.9294 4.1255
1.9294 -1.9294 4.1255
1.9294 1.9294 -4.1255
Ti B Ru
1 2 2
Cartesian
0.0000 0.0000 0.0000 Ti
1.9294 0.0000 2.0628 B
0.0000 1.9294 2.0628 B
0.0000 0.0000 2.8431 Ru
0.0000 0.0000 5.4080 Ru
```

**Energy of formation**: -0.27 eV per formula unit
**Density**: 7.34 g/cm³
**Space group**: I4/mmm, No. 139